No. 1
## Cd2PdPt3 (PBE)

Data for a relaxed Cd2PdPt3 crystal.

Cell and atoms, written as POSCAR:
```
Cd2PdPt3
1.0
7.2316 -2.0507 0.0000
7.2316 2.0507 0.0000
-4.6610 0.0000 6.8246
Cd Pd Pt
4 2 6
Direct
0.0788 0.0788 0.2140
0.2498 0.2498 0.1305
0.7502 0.7502 0.8695
0.9212 0.9212 0.7860
0.4156 0.4156 0.0448
0.5844 0.5844 0.9552
0.0861 0.0861 0.6990
0.2543 0.2543 0.6251
0.4212 0.4212 0.5448
0.5788 0.5788 0.4552
0.7457 0.7457 0.3749
0.9139 0.9139 0.3010
```

ΔH_f (0 K): -1.4 eV per formula unit
SG: No. 12
Density of states at the Fermi level: 8.6 states/eV/cell



No. 2
## CdPd6Pt2 (PBE)

Data for a relaxed CdPd6Pt2 crystal.

Cell and atoms, written as POSCAR:
```
CdPd6Pt2
1.0
5.4094 0.0000 0.0000
1.3684 6.4029 0.0000
0.0478 2.4663 8.8494
Cd Pd Pt
2 12 4
Direct
0.0000 0.0000 0.0000
0.5000 0.0000 0.5000
0.0382 0.8139 0.3081
0.1037 0.5910 0.6059
0.1541 0.3987 0.9065
0.3045 0.8008 0.7926
0.3466 0.5966 0.0977
0.3903 0.4270 0.3995
0.6097 0.5730 0.6005
0.6534 0.4034 0.9023
0.6955 0.1992 0.2074
0.8459 0.6013 0.0935
0.8963 0.4090 0.3941
0.9618 0.1861 0.6919
0.1972 0.1962 0.2141
0.4594 0.1844 0.7325
0.5406 0.8156 0.2675
0.8028 0.8038 0.7859
```

Offset from the most stable computed form: 128 meV/atom
ΔH_f (0 K): 0.1 eV per formula unit
SG: No. 2
Density of states at the Fermi level: 26.5 states/eV/cell



No. 3
## CdPdPt3 (PBE)

Data for a relaxed CdPdPt3 crystal.

Cell and atoms, written as POSCAR:
```
CdPdPt3
1.0
4.9077 0.0000 0.0000
0.0000 4.9077 0.0000
0.0000 0.0000 4.9077
Cd Pd Pt
1 1 3
Direct
0.0000 0.0000 0.0000
0.5000 0.5000 0.5000
0.0000 0.0000 0.5000
0.0000 0.5000 0.0000
0.5000 0.0000 0.0000
```

Offset from the most stable computed form: 1682 meV/atom
ΔH_f (0 K): 7.5 eV per formula unit
SG: No. 221
Density of states at the Fermi level: 6.0 states/eV/cell



No. 4
## Cd4PdPt6 (PBE)

Data for a relaxed Cd4PdPt6 crystal.

Cell and atoms, written as POSCAR:
```
Cd4PdPt6
1.0
-2.7332 2.7332 6.8810
2.7332 -2.7332 6.8810
2.7332 2.7332 -6.8810
Cd Pd Pt
4 1 6
Direct
0.0219 0.6282 0.0000
0.3718 0.3718 0.3937
0.6282 0.0219 0.0000
0.9781 0.9781 0.6063
0.0000 0.0000 0.0000
0.0000 0.5000 0.5000
0.1977 0.1977 0.6429
0.4452 0.8023 0.0000
0.5000 0.0000 0.5000
0.5548 0.5548 0.3571
0.8023 0.4452 0.0000
```

ΔH_f (0 K): -0.6 eV per formula unit
SG: No. 121
Density of states at the Fermi level: 11.2 states/eV/cell



No. 5
## Cd3Pd3Pt2 (PBE)

Data for a relaxed Cd3Pd3Pt2 crystal.

Cell and atoms, written as POSCAR:
```
Cd3Pd3Pt2
1.0
3.9117 0.0000 0.0000
0.0000 4.1271 0.0000
0.0000 0.0000 16.7990
Cd Pd Pt
6 6 4
Direct
0.0000 0.0000 0.0000
0.0000 0.5000 0.1288
0.0000 0.5000 0.8712
0.5000 0.0000 0.3712
0.5000 0.0000 0.6288
0.5000 0.5000 0.5000
0.0000 0.0000 0.5000
0.0000 0.5000 0.3726
0.0000 0.5000 0.6274
0.5000 0.0000 0.1274
0.5000 0.0000 0.8726
0.5000 0.5000 0.0000
0.0000 0.0000 0.2508
0.0000 0.0000 0.7492
0.5000 0.5000 0.2492
0.5000 0.5000 0.7508
```

Offset from the most stable computed form: 0 meV/atom
ΔH_f (0 K): -2.4 eV per formula unit
SG: No. 71
Density of states at the Fermi level: 6.4 states/eV/cell



No. 6
## Cd2Pd4Pt (PBE)

Data for a relaxed Cd2Pd4Pt crystal.

Cell and atoms, written as POSCAR:
```
Cd2Pd4Pt
1.0
-3.9902 3.9902 3.9369
3.9902 -3.9902 3.9369
3.9902 3.9902 -3.9369
Cd Pd Pt
4 8 2
Direct
0.3750 0.0059 0.1309
0.7559 0.6250 0.6309
0.8750 0.2441 0.8691
0.9941 0.1250 0.3691
0.1365 0.0456 0.7506
0.1359 0.5450 0.7494
0.2950 0.3859 0.2494
0.4550 0.2044 0.5909
0.6135 0.8641 0.4091
0.6141 0.8635 0.9091
0.7956 0.3865 0.2506
0.9544 0.7050 0.0909
0.2500 0.7500 0.5000
0.5000 0.5000 0.0000
```

Offset from the most stable computed form: 78 meV/atom
ΔH_f (0 K): -0.3 eV per formula unit
SG: No. 122
Density of states at the Fermi level: 10.9 states/eV/cell



No. 7
## Cd3PdPt6 (PBE)

Data for a relaxed Cd3PdPt6 crystal.

Cell and atoms, written as POSCAR:
```
Cd3PdPt6
1.0
7.6266 0.0000 0.0000
0.0000 4.6871 0.0000
-3.3874 0.0000 9.3875
Cd Pd Pt
6 2 12
Direct
0.0879 0.2500 0.2327
0.2963 0.2500 0.0273
0.3064 0.7500 0.3752
0.6936 0.2500 0.6248
0.7037 0.7500 0.9727
0.9121 0.7500 0.7673
0.0959 0.7500 0.5649
0.9041 0.2500 0.4351
0.1055 0.7500 0.0707
0.1078 0.2500 0.7303
0.2984 0.2500 0.5415
0.3056 0.7500 0.8608
0.4978 0.7500 0.6705
0.4993 0.7500 0.1680
0.5007 0.2500 0.8320
0.5022 0.2500 0.3295
0.6944 0.2500 0.1392
0.7016 0.7500 0.4585
0.8922 0.7500 0.2697
0.8945 0.2500 0.9293
```

ΔH_f (0 K): -1.9 eV per formula unit
SG: No. 11
Density of states at the Fermi level: 15.8 states/eV/cell



No. 8
## Cd2Pd8Pt3 (PBE)

Data for a relaxed Cd2Pd8Pt3 crystal.

Cell and atoms, written as POSCAR:
```
Cd2Pd8Pt3
1.0
2.5574 1.4765 10.0194
-2.5574 1.4765 10.0194
0.0000 -2.9530 10.0194
Cd Pd Pt
2 8 3
Direct
0.1387 0.1387 0.1387
0.8613 0.8613 0.8613
0.2261 0.2261 0.2261
0.2264 0.2264 0.7261
0.2264 0.7261 0.2264
0.2739 0.7736 0.7736
0.7261 0.2264 0.2264
0.7736 0.2739 0.7736
0.7736 0.7736 0.2739
0.7739 0.7739 0.7739
0.3165 0.3165 0.3165
0.5000 0.5000 0.5000
0.6835 0.6835 0.6835
```

Offset from the most stable computed form: 155 meV/atom
ΔH_f (0 K): 2.1 eV per formula unit
SG: No. 166
Density of states at the Fermi level: 20.1 states/eV/cell



No. 9
## Cd4Pd2Pt (PBE)

Data for a relaxed Cd4Pd2Pt crystal.

Cell and atoms, written as POSCAR:
```
Cd4Pd2Pt
1.0
6.3081 0.0000 0.0000
0.0000 6.3081 0.0000
0.0000 0.0000 6.9002
Cd Pd Pt
8 4 2
Direct
0.2500 0.2500 0.2500
0.2500 0.2500 0.7500
0.2500 0.7500 0.2500
0.2500 0.7500 0.7500
0.7500 0.2500 0.2500
0.7500 0.2500 0.7500
0.7500 0.7500 0.2500
0.7500 0.7500 0.7500
0.0000 0.5000 0.0000
0.0000 0.5000 0.5000
0.5000 0.0000 0.0000
0.5000 0.0000 0.5000
0.0000 0.0000 0.0000
0.5000 0.5000 0.5000
```

ΔH_f (0 K): -2.3 eV per formula unit
SG: No. 139
Density of states at the Fermi level: 7.3 states/eV/cell



No. 10
## Cd2Pd2Pt (PBE)

Data for a relaxed Cd2Pd2Pt crystal.

Cell and atoms, written as POSCAR:
```
Cd2Pd2Pt
1.0
6.9161 0.0000 0.0000
0.0000 6.9161 0.0000
0.0000 0.0000 3.8391
Cd Pd Pt
4 4 2
Direct
0.1692 0.3308 0.0000
0.3308 0.8308 0.0000
0.6692 0.1692 0.0000
0.8308 0.6692 0.0000
0.1345 0.6345 0.5000
0.3655 0.1345 0.5000
0.6345 0.8655 0.5000
0.8655 0.3655 0.5000
0.0000 0.0000 0.5000
0.5000 0.5000 0.5000
```

Offset from the most stable computed form: 3 meV/atom
ΔH_f (0 K): -0.8 eV per formula unit
SG: No. 127
Density of states at the Fermi level: 2.6 states/eV/cell



No. 11
## Cd2PdPt9 (PBE)

Data for a relaxed Cd2PdPt9 crystal.

Cell and atoms, written as POSCAR:
```
Cd2PdPt9
1.0
4.0036 0.0000 0.0000
0.0000 4.0036 0.0000
0.0000 0.0000 12.1034
Cd Pd Pt
2 1 9
Direct
0.0000 0.0000 0.1686
0.0000 0.0000 0.8314
0.0000 0.0000 0.5000
0.0000 0.5000 0.0000
0.0000 0.5000 0.3375
0.0000 0.5000 0.6625
0.5000 0.0000 0.0000
0.5000 0.0000 0.3375
0.5000 0.0000 0.6625
0.5000 0.5000 0.1687
0.5000 0.5000 0.5000
0.5000 0.5000 0.8313
```

ΔH_f (0 K): -1.7 eV per formula unit
SG: No. 123
Density of states at the Fermi level: 14.0 states/eV/cell



No. 12
## Cd2Pd3Pt3 (PBE)

Data for a relaxed Cd2Pd3Pt3 crystal.

Cell and atoms, written as POSCAR:
```
Cd2Pd3Pt3
1.0
4.0198 0.0000 0.0000
0.0000 4.1359 0.0000
0.0000 0.0000 7.9034
Cd Pd Pt
2 3 3
Direct
0.0000 0.0000 0.2479
0.0000 0.0000 0.7521
0.0000 0.5000 0.0000
0.5000 0.0000 0.0000
0.5000 0.0000 0.5000
0.0000 0.5000 0.5000
0.5000 0.5000 0.2510
0.5000 0.5000 0.7490
```

ΔH_f (0 K): -1.7 eV per formula unit
SG: No. 47
Density of states at the Fermi level: 11.1 states/eV/cell



no.,total energy (eV/atom)
1,-4.4212
2,-4.8976
3,-3.3375
4,-4.1535
5,-4.1062
6,-4.1402
7,-4.6084
8,-4.5726
9,-3.1966
10,-3.8211
11,-5.2553
12,-4.6527